No. 1
Below is KCaYZn2 at its PBEsol-relaxed geometry, with properties calculated at the SCAN level.

```
KCaYZn2
1.0
5.521 0.000 0.000
0.000 5.521 0.000
0.000 0.000 5.804
Y Zn K Ca
1 2 1 1
direct
0.000 0.000 0.500
0.000 0.500 0.000
0.500 0.000 0.000
0.500 0.500 0.500
0.000 0.000 0.000
```

Output
As for the symmetry: P4/mmm (123). As for the total energy: -68.96 eV per formula unit. The density of states at the Fermi level comes out at 5.0 states/eV per cell. As for the total magnetization: 0.00 Bohr magnetons per cell. For the formation energy from the elements, the calculation gives 3.90 eV per formula unit.


No. 2
Below is KCaZn2 at its PBEsol-relaxed geometry, with properties calculated at the SCAN level.

```
KCaZn2
1.0
-4.754 2.170 -1.127
-4.411 -3.016 0.122
-3.606 0.702 3.883
Ca K Zn
1 1 2
direct
0.500 0.000 0.000
0.000 0.500 0.500
0.250 0.750 0.750
0.750 0.250 0.250
```

Output
As for the symmetry: I4/mmm (139). As for the total energy: -44.51 eV per formula unit. The density of states at the Fermi level comes out at 3.9 states/eV per cell. As for the total magnetization: 0.00 Bohr magnetons per cell. The polymorph energy (0 for the lowest one) is 0 meV per atom. For the formation energy from the elements, the calculation gives 0.51 eV per formula unit.


No. 3
Below is KCa2Zn at its PBEsol-relaxed geometry, with properties calculated at the SCAN level.

```
KCa2Zn
1.0
3.719 0.000 0.000
0.000 3.719 0.021
0.000 -0.068 10.421
K Ca Zn
1 2 1
direct
0.500 0.500 0.500
0.000 0.000 0.835
0.000 0.000 0.165
0.500 0.500 0.000
```

Output
As for the symmetry: P2/m (10). As for the total energy: -41.41 eV per formula unit. The density of states at the Fermi level comes out at 3.3 states/eV per cell. As for the total magnetization: 0.04 Bohr magnetons per cell. For the formation energy from the elements, the calculation gives -0.24 eV per formula unit.


No. 4
Below is KCaZn2 at its PBEsol-relaxed geometry, with properties calculated at the SCAN level.

```
KCaZn2
1.0
-4.447 -0.973 -2.304
-2.486 -4.346 0.984
-4.338 0.094 2.684
Ca K Zn
1 1 2
direct
0.500 0.500 0.500
0.250 0.250 0.250
0.000 0.000 0.000
0.750 0.750 0.750
```

Output
As for the symmetry: F-43m (216). As for the total energy: -44.30 eV per formula unit. The density of states at the Fermi level comes out at 4.8 states/eV per cell. As for the total magnetization: 0.00 Bohr magnetons per cell. The polymorph energy (0 for the lowest one) is 52 meV per atom. For the formation energy from the elements, the calculation gives 0.72 eV per formula unit.


No. 5
Below is KCa2Zn at its PBEsol-relaxed geometry, with properties calculated at the SCAN level.

```
KCa2Zn
1.0
3.762 -0.024 0.000
-0.406 6.492 0.000
-1.678 -3.234 5.936
Ca K Zn
2 1 1
direct
0.000 0.000 0.500
0.500 0.500 0.500
0.500 0.000 0.000
0.000 0.500 0.000
```

Output
As for the symmetry: C2/m (12). As for the total energy: -40.01 eV per formula unit. The density of states at the Fermi level comes out at 3.5 states/eV per cell. As for the total magnetization: 0.00 Bohr magnetons per cell. For the formation energy from the elements, the calculation gives 1.16 eV per formula unit.


No. 6
Below is KCaZn4 at its PBEsol-relaxed geometry, with properties calculated at the SCAN level.

```
KCaZn4
1.0
-1.015 0.949 5.419
2.051 -3.470 3.879
4.135 1.697 3.365
Ca K Zn
1 1 4
direct
0.750 0.750 0.750
0.000 0.000 0.000
0.872 0.376 0.376
0.376 0.376 0.376
0.376 0.376 0.872
0.376 0.872 0.376
```

Output
As for the symmetry: F-43m (216). As for the total energy: -72.27 eV per formula unit. The density of states at the Fermi level comes out at 3.4 states/eV per cell. As for the total magnetization: 0.00 Bohr magnetons per cell. For the formation energy from the elements, the calculation gives -0.21 eV per formula unit.


No. 7
Below is K2CaZr at its PBEsol-relaxed geometry, with properties calculated at the SCAN level.

```
K2CaZr
1.0
3.411 0.000 0.000
0.000 3.411 0.000
0.000 0.000 13.421
Ca K Zr
1 2 1
direct
0.500 0.500 0.500
0.000 0.000 0.771
0.000 0.000 0.229
0.500 0.500 0.000
```

Output
As for the symmetry: P4/mmm (123). As for the total energy: -54.16 eV per formula unit. The density of states at the Fermi level comes out at 3.0 states/eV per cell. As for the total magnetization: 2.89 Bohr magnetons per cell. The polymorph energy (0 for the lowest one) is 0 meV per atom. For the formation energy from the elements, the calculation gives 2.86 eV per formula unit.


No. 8
Below is KCaZr2 at its PBEsol-relaxed geometry, with properties calculated at the SCAN level.

```
KCaZr2
1.0
-0.190 1.628 2.956
0.668 -1.640 2.879
11.944 3.114 0.985
Ca K Zr
1 1 2
direct
0.488 0.488 0.536
0.255 0.255 0.234
0.013 0.013 0.960
0.743 0.743 0.771
```

Output
As for the symmetry: R3m (160). As for the total energy: -77.65 eV per formula unit. The density of states at the Fermi level comes out at 3.5 states/eV per cell. As for the total magnetization: 0.20 Bohr magnetons per cell. The polymorph energy (0 for the lowest one) is 0 meV per atom. For the formation energy from the elements, the calculation gives 1.74 eV per formula unit.


No. 9
Below is KCa2Zr at its PBEsol-relaxed geometry, with properties calculated at the SCAN level.

```
KCa2Zr
1.0
3.568 0.000 0.000
1.784 3.090 0.000
1.784 1.030 12.895
Ca K Zr
2 1 1
direct
0.264 0.264 0.208
0.736 0.736 0.792
0.500 0.500 0.500
0.000 0.000 0.000
```

Output
As for the symmetry: R-3m (166). As for the total energy: -56.72 eV per formula unit. The density of states at the Fermi level comes out at 4.7 states/eV per cell. As for the total magnetization: 0.39 Bohr magnetons per cell. For the formation energy from the elements, the calculation gives 1.63 eV per formula unit.


No. 10
Below is KCaZr4 at its PBEsol-relaxed geometry, with properties calculated at the SCAN level.

```
KCaZr4
1.0
-0.094 -4.801 -3.855
-1.202 -5.646 2.143
-5.340 -2.742 -1.373
Ca K Zr
1 1 4
direct
0.750 0.750 0.750
0.000 0.000 0.000
0.380 0.380 0.380
0.380 0.380 0.860
0.860 0.380 0.380
0.380 0.860 0.380
```

Output
As for the symmetry: F-43m (216). As for the total energy: -136.41 eV per formula unit. The density of states at the Fermi level comes out at 8.1 states/eV per cell. As for the total magnetization: 0.00 Bohr magnetons per cell. For the formation energy from the elements, the calculation gives 4.38 eV per formula unit.


No. 11
Below is KCaZr at its PBEsol-relaxed geometry, with properties calculated at the SCAN level.

```
KCaZr
1.0
3.333 -0.022 0.000
-1.125 3.138 0.000
-1.104 -1.558 9.726
Ca K Zr
1 1 1
direct
0.019 0.019 0.039
0.325 0.325 0.649
0.656 0.656 0.312
```

Output
As for the symmetry: Fmm2 (42). As for the total energy: -46.93 eV per formula unit. The density of states at the Fermi level comes out at 2.3 states/eV per cell. As for the total magnetization: 1.66 Bohr magnetons per cell. The polymorph energy (0 for the lowest one) is 0 meV per atom. For the formation energy from the elements, the calculation gives 1.76 eV per formula unit.


No. 12
Below is K2CaZr at its PBEsol-relaxed geometry, with properties calculated at the SCAN level.

```
K2CaZr
1.0
-4.378 4.153 1.166
-5.094 -1.667 3.007
-0.944 1.936 5.756
Ca K Zr
1 2 1
direct
0.500 0.500 0.500
0.000 0.000 0.000
0.750 0.750 0.750
0.250 0.250 0.250
```

Output
As for the symmetry: F-43m (216). As for the total energy: -53.59 eV per formula unit. The density of states at the Fermi level comes out at 7.7 states/eV per cell. As for the total magnetization: 4.74 Bohr magnetons per cell. The polymorph energy (0 for the lowest one) is 142 meV per atom. For the formation energy from the elements, the calculation gives 3.43 eV per formula unit.


No. 13
Below is KCaZr2 at its PBEsol-relaxed geometry, with properties calculated at the SCAN level.

```
KCaZr2
1.0
-0.764 -5.007 -2.030
2.398 -4.296 2.361
-3.005 -3.631 2.751
Ca K Zr
1 1 2
direct
0.500 0.500 0.500
0.250 0.250 0.250
0.000 0.000 0.000
0.750 0.750 0.750
```

Output
As for the symmetry: F-43m (216). As for the total energy: -75.83 eV per formula unit. The density of states at the Fermi level comes out at 3.0 states/eV per cell. As for the total magnetization: 2.64 Bohr magnetons per cell. The polymorph energy (0 for the lowest one) is 455 meV per atom. For the formation energy from the elements, the calculation gives 3.56 eV per formula unit.


No. 14
Below is KCaZr at its PBEsol-relaxed geometry, with properties calculated at the SCAN level.

```
KCaZr
1.0
3.369 0.000 0.000
0.000 3.369 0.000
-1.684 -1.684 9.084
Ca K Zr
1 1 1
direct
0.976 0.976 0.952
0.678 0.678 0.356
0.346 0.346 0.692
```

Output
As for the symmetry: I4mm (107). As for the total energy: -46.80 eV per formula unit. The density of states at the Fermi level comes out at 2.7 states/eV per cell. As for the total magnetization: 2.01 Bohr magnetons per cell. The polymorph energy (0 for the lowest one) is 45 meV per atom. For the formation energy from the elements, the calculation gives 1.89 eV per formula unit.


No. 15
Below is KCaZr2 at its PBEsol-relaxed geometry, with properties calculated at the SCAN level.

```
KCaZr2
1.0
-1.121 -1.397 2.737
4.649 1.256 2.544
-4.234 5.574 -0.844
Ca K Zr
1 1 2
direct
0.000 0.500 0.000
0.500 0.000 0.000
0.744 0.744 0.487
0.256 0.256 0.513
```

Output
As for the symmetry: Immm (71). As for the total energy: -76.29 eV per formula unit. The density of states at the Fermi level comes out at 4.1 states/eV per cell. As for the total magnetization: 1.20 Bohr magnetons per cell. The polymorph energy (0 for the lowest one) is 341 meV per atom. For the formation energy from the elements, the calculation gives 3.10 eV per formula unit.


No. 16
Below is KCaZr2 at its PBEsol-relaxed geometry, with properties calculated at the SCAN level.

```
KCaZr2
1.0
-1.141 -1.670 -2.745
3.728 -0.053 -1.518
1.679 -8.402 4.414
Ca K Zr
1 1 2
direct
0.000 0.000 0.431
0.500 0.500 0.785
0.000 0.000 0.076
0.500 0.500 0.208
```

Output
As for the symmetry: Pmm2 (25). As for the total energy: -77.49 eV per formula unit. The density of states at the Fermi level comes out at 4.5 states/eV per cell. As for the total magnetization: 0.22 Bohr magnetons per cell. The polymorph energy (0 for the lowest one) is 40 meV per atom. For the formation energy from the elements, the calculation gives 1.90 eV per formula unit.


No. 17
Below is KCaZr2 at its PBEsol-relaxed geometry, with properties calculated at the SCAN level.

```
KCaZr2
1.0
-1.293 -5.016 -1.734
3.927 -3.407 -1.678
1.311 -4.358 3.023
Ca K Zr
1 1 2
direct
0.000 0.000 0.000
0.500 0.500 0.500
0.250 0.250 0.250
0.750 0.750 0.750
```

Output
As for the symmetry: Fm-3m (225). As for the total energy: -74.60 eV per formula unit. The density of states at the Fermi level comes out at 4.7 states/eV per cell. As for the total magnetization: 0.00 Bohr magnetons per cell. The polymorph energy (0 for the lowest one) is 763 meV per atom. For the formation energy from the elements, the calculation gives 4.79 eV per formula unit.


No. 18
Below is CaLa5 at its PBEsol-relaxed geometry, with properties calculated at the SCAN level.

```
CaLa5
1.0
5.881 0.000 0.000
0.000 6.429 0.000
0.000 -3.214 5.567
Ca La
1 5
direct
0.500 0.000 0.000
0.000 0.364 0.364
0.000 0.636 0.000
0.000 0.000 0.636
0.500 0.333 0.667
0.500 0.667 0.333
```

Output
As for the symmetry: P-62m (189). As for the total energy: -224.88 eV per formula unit. The density of states at the Fermi level comes out at 7.9 states/eV per cell. As for the total magnetization: 0.13 Bohr magnetons per cell. The polymorph energy (0 for the lowest one) is 31 meV per atom. For the formation energy from the elements, the calculation gives 0.30 eV per formula unit.


No. 19
Below is CaLa2 at its PBEsol-relaxed geometry, with properties calculated at the SCAN level.

```
CaLa2
1.0
-1.112 3.124 1.617
-5.494 -4.530 0.764
5.160 -1.740 6.912
Ca La
2 4
direct
0.523 0.045 0.804
0.477 0.955 0.196
0.207 0.413 0.142
0.793 0.587 0.858
0.150 0.300 0.534
0.850 0.700 0.466
```

Output
As for the symmetry: C2/m (12). As for the total energy: -95.70 eV per formula unit. The density of states at the Fermi level comes out at 8.0 states/eV per cell. As for the total magnetization: 0.16 Bohr magnetons per cell. The polymorph energy (0 for the lowest one) is 34 meV per atom. For the formation energy from the elements, the calculation gives 0.18 eV per formula unit.


No. 20
Below is Ca3La at its PBEsol-relaxed geometry, with properties calculated at the SCAN level.

```
Ca3La
1.0
-0.347 3.604 0.698
-5.389 -0.748 1.185
1.764 -1.233 7.245
Ca La
3 1
direct
0.500 0.500 0.757
0.000 0.000 0.500
0.500 0.500 0.243
0.000 0.000 0.000
```

Output
As for the symmetry: Pmmm (47). As for the total energy: -71.82 eV per formula unit. The density of states at the Fermi level comes out at 4.8 states/eV per cell. As for the total magnetization: 0.77 Bohr magnetons per cell. The polymorph energy (0 for the lowest one) is 39 meV per atom. For the formation energy from the elements, the calculation gives 0.28 eV per formula unit.